A plane-wave DFT calculation with PBE-GGA was carried out for a geometry-optimized Re4AgMo structure.

## Properties
The formation energy comes out at 0.4434 eV/atom. Its total DFT energy (no corrections) is -10.136 eV per atom. The magnetic moment is 0.0 μB per formula unit.

Geometry as CIF:
```
data_Re4AgMo
_symmetry_space_group_name_H-M 'F -4 3 m'
_symmetry_Int_Tables_number 216
_symmetry_space_group_name_Hall 'F -4 2 3'
_cell_length_a 7.3218
_cell_length_b 7.3218
_cell_length_c 7.3218
_cell_angle_alpha 90.00
_cell_angle_beta 90.00
_cell_angle_gamma 90.00
loop_
_atom_site_label
_atom_site_fract_x
_atom_site_fract_y
_atom_site_fract_z
_atom_site_occupancy
Re1 0.1243 0.1243 0.1243 1
Ag1 0.2500 0.2500 0.7500 1
Mo1 0.0000 0.0000 0.5000 1
```


A plane-wave DFT calculation with PBE-GGA was carried out for a geometry-optimized ErBiPt2 structure.

## Properties
The formation energy comes out at -0.7650 eV/atom. Its total DFT energy (no corrections) is -5.896 eV per atom. The magnetic moment is 0.0 μB per formula unit.

Geometry as CIF:
```
data_ErBiPt2
_symmetry_space_group_name_H-M 'P 4/m m m'
_symmetry_Int_Tables_number 123
_symmetry_space_group_name_Hall '-P 4 2'
_cell_length_a 3.6290
_cell_length_b 3.6290
_cell_length_c 6.4741
_cell_angle_alpha 90.00
_cell_angle_beta 90.00
_cell_angle_gamma 90.00
loop_
_atom_site_label
_atom_site_fract_x
_atom_site_fract_y
_atom_site_fract_z
_atom_site_occupancy
Er1 0.0000 0.0000 0.0000 1
Bi1 0.0000 0.0000 0.5000 1
Pt1 0.5000 0.5000 0.2223 1
```


A plane-wave DFT calculation with PBE-GGA was carried out for a geometry-optimized SiMoSe2 structure.

## Properties
Its total DFT energy (no corrections) is -5.402 eV per atom. The magnetic moment is 0.0 μB per formula unit. The raw formation energy is 1.6 eV/f.u.

Geometry as CIF:
```
data_SiMoSe2
_symmetry_space_group_name_H-M 'I -4 2 d'
_symmetry_Int_Tables_number 122
_symmetry_space_group_name_Hall 'I -4 2bw'
_cell_length_a 5.8288
_cell_length_b 5.8288
_cell_length_c 11.1654
_cell_angle_alpha 90.00
_cell_angle_beta 90.00
_cell_angle_gamma 90.00
loop_
_atom_site_label
_atom_site_fract_x
_atom_site_fract_y
_atom_site_fract_z
_atom_site_occupancy
Si1 0.0000 0.0000 0.0000 1
Mo1 0.0000 0.0000 0.5000 1
Se1 0.2379 0.2500 0.6250 1
```


A plane-wave DFT calculation with PBE-GGA was carried out for a geometry-optimized YAgPt2 structure.

## Properties
The formation energy comes out at 0.0154 eV/atom. Its total DFT energy (no corrections) is -5.334 eV per atom. The magnetic moment is 0.0 μB per formula unit.

Geometry as CIF:
```
data_YAgPt2
_symmetry_space_group_name_H-M 'R 3 m'
_symmetry_Int_Tables_number 160
_symmetry_space_group_name_Hall 'R 3 -2"'
_cell_length_a 3.0015
_cell_length_b 3.0015
_cell_length_c 28.8230
_cell_angle_alpha 90.00
_cell_angle_beta 90.00
_cell_angle_gamma 120.00
loop_
_atom_site_label
_atom_site_fract_x
_atom_site_fract_y
_atom_site_fract_z
_atom_site_occupancy
Y1 0.0000 0.0000 0.0000 1
Ag1 0.0000 0.0000 0.2408 1
Pt1 0.0000 0.0000 0.4948 1
Pt2 0.0000 0.0000 0.7480 1
```